*i*
The following is a GGA-PBEsol calculation of CrAu2Br after structural relaxation, from the Alexandria database.

```
data_CrAu2Br
_chemical_formula_sum 'Cr1 Au2 Br1'
_symmetry_space_group_name_H-M 'P 4/m m m'
_symmetry_Int_Tables_number 123
_symmetry_space_group_name_Hall '-P 4 2'
_cell_length_a 3.087
_cell_length_b 3.087
_cell_length_c 7.736
_cell_angle_alpha 90.00
_cell_angle_beta 90.00
_cell_angle_gamma 90.00
loop_
_atom_site_label
_atom_site_type_symbol
_atom_site_fract_x
_atom_site_fract_y
_atom_site_fract_z
_atom_site_occupancy
Cr1 Cr 0.000 0.000 0.000 1
Au1 Au 0.500 0.500 0.210 1
Br1 Br 0.000 0.000 0.500 1
```

M_tot: 3.3 μB/f.u.

*ii*
The following is a GGA-PBEsol calculation of CrAu2Br after structural relaxation, from the Alexandria database.

```
data_CrAu2Br
_chemical_formula_sum 'Cr2 Au4 Br2'
_symmetry_space_group_name_H-M 'C 1 m 1'
_symmetry_Int_Tables_number 8
_cell_length_a 8.778
_cell_length_b 3.190
_cell_length_c 6.393
_cell_angle_alpha 90.00
_cell_angle_beta 104.27
_cell_angle_gamma 90.00
loop_
_symmetry_equiv_pos_as_xyz
'x,y,z'
'x,-y,z'
'x+1/2,y+1/2,z'
'x+1/2,-y+1/2,z'
loop_
_atom_site_label
_atom_site_type_symbol
_atom_site_fract_x
_atom_site_fract_y
_atom_site_fract_z
_atom_site_occupancy
Cr1 Cr 0.000 0.000 0.000 1
Au1 Au 0.001 0.500 0.344 1
Au2 Au 0.244 0.500 0.153 1
Br1 Br 0.392 0.000 0.711 1
```

M_tot: 3.3 μB/f.u.

Energy comparison, zero being the most stable, in meV/atom: *i* 179; *ii* 0.

*i*
The following is a GGA-PBEsol calculation of CuAuBr2 after structural relaxation, from the Alexandria database.

```
data_CuAuBr2
_chemical_formula_sum 'Cu2 Au2 Br4'
_symmetry_space_group_name_H-M 'C m m m'
_symmetry_Int_Tables_number 65
_symmetry_space_group_name_Hall '-C 2 2'
_cell_length_a 3.549
_cell_length_b 6.560
_cell_length_c 7.582
_cell_angle_alpha 90.00
_cell_angle_beta 90.00
_cell_angle_gamma 90.00
loop_
_atom_site_label
_atom_site_type_symbol
_atom_site_fract_x
_atom_site_fract_y
_atom_site_fract_z
_atom_site_occupancy
Cu1 Cu 0.000 0.000 0.000 1
Au1 Au 0.000 0.000 0.500 1
Br1 Br 0.000 0.500 0.226 1
```

M_tot: 0.0 μB/f.u.

*ii*
The following is a GGA-PBEsol calculation of CuAuBr2 after structural relaxation, from the Alexandria database.

```
data_CuAuBr2
_chemical_formula_sum 'Cu1 Au1 Br2'
_symmetry_space_group_name_H-M 'P m m m'
_symmetry_Int_Tables_number 47
_cell_length_a 3.685
_cell_length_b 3.694
_cell_length_c 6.607
_cell_angle_alpha 90.00
_cell_angle_beta 90.00
_cell_angle_gamma 90.00
loop_
_symmetry_equiv_pos_as_xyz
'x,y,z'
'-x,-y,-z'
'-x,-y,z'
'x,y,-z'
'x,-y,-z'
'-x,y,z'
'-x,y,-z'
'x,-y,z'
loop_
_atom_site_label
_atom_site_type_symbol
_atom_site_fract_x
_atom_site_fract_y
_atom_site_fract_z
_atom_site_occupancy
Cu1 Cu 0.000 0.000 0.000 1
Au1 Au 0.000 0.500 0.500 1
Br1 Br 0.500 0.000 0.500 1
Br2 Br 0.500 0.500 0.000 1
```

M_tot: 0.0 μB/f.u.

Energy comparison, zero being the most stable, in meV/atom: *i* 0; *ii* 20.

*i*
The following is a GGA-PBEsol calculation of CuAuBr2 after structural relaxation, from the Alexandria database.

```
data_CuAuBr2
_chemical_formula_sum 'Cu1 Au1 Br2'
_symmetry_space_group_name_H-M 'P 4 m m'
_symmetry_Int_Tables_number 99
_cell_length_a 3.545
_cell_length_b 3.545
_cell_length_c 6.860
_cell_angle_alpha 90.00
_cell_angle_beta 90.00
_cell_angle_gamma 90.00
loop_
_symmetry_equiv_pos_as_xyz
'x,y,z'
'-y,x,z'
'-x,-y,z'
'y,-x,z'
'-x,y,z'
'y,x,z'
'x,-y,z'
'-y,-x,z'
loop_
_atom_site_label
_atom_site_type_symbol
_atom_site_fract_x
_atom_site_fract_y
_atom_site_fract_z
_atom_site_occupancy
Cu1 Cu 0.000 0.000 0.000 1
Au1 Au 0.500 0.500 0.135 1
Br1 Br 0.000 0.000 0.357 1
Br2 Br 0.500 0.500 0.769 1
```

M_tot: 0.0 μB/f.u.

*ii*
The following is a GGA-PBEsol calculation of CuAuBr2 after structural relaxation, from the Alexandria database.

```
data_CuAuBr2
_chemical_formula_sum 'Cu2 Au2 Br4'
_symmetry_space_group_name_H-M 'C m m 2'
_symmetry_Int_Tables_number 35
_cell_length_a 3.751
_cell_length_b 6.398
_cell_length_c 7.690
_cell_angle_alpha 90.00
_cell_angle_beta 90.00
_cell_angle_gamma 90.00
loop_
_symmetry_equiv_pos_as_xyz
'x,y,z'
'-x,-y,z'
'-x,y,z'
'x,-y,z'
'x+1/2,y+1/2,z'
'-x+1/2,-y+1/2,z'
'-x+1/2,y+1/2,z'
'x+1/2,-y+1/2,z'
loop_
_atom_site_label
_atom_site_type_symbol
_atom_site_fract_x
_atom_site_fract_y
_atom_site_fract_z
_atom_site_occupancy
Cu1 Cu 0.000 0.000 0.000 1
Au1 Au 0.000 0.500 0.785 1
Br1 Br 0.000 0.000 0.562 1
Br2 Br 0.000 0.500 0.181 1
```

M_tot: 0.0 μB/f.u.

Energy comparison, zero being the most stable, in meV/atom: *i* 60; *ii* 0.

*i*
The following is a GGA-PBEsol calculation of FeAuBr2 after structural relaxation, from the Alexandria database.

```
data_FeAuBr2
_chemical_formula_sum 'Fe1 Au1 Br2'
_symmetry_space_group_name_H-M 'P 4/m m m'
_symmetry_Int_Tables_number 123
_symmetry_space_group_name_Hall '-P 4 2'
_cell_length_a 3.066
_cell_length_b 3.066
_cell_length_c 8.935
_cell_angle_alpha 90.00
_cell_angle_beta 90.00
_cell_angle_gamma 90.00
loop_
_atom_site_label
_atom_site_type_symbol
_atom_site_fract_x
_atom_site_fract_y
_atom_site_fract_z
_atom_site_occupancy
Fe1 Fe 0.000 0.000 0.000 1
Au1 Au 0.000 0.000 0.500 1
Br1 Br 0.500 0.500 0.179 1
```

M_tot: 3.8 μB/f.u.

*ii*
The following is a GGA-PBEsol calculation of FeAuBr2 after structural relaxation, from the Alexandria database.

```
data_FeAuBr2
_chemical_formula_sum 'Fe1 Au1 Br2'
_symmetry_space_group_name_H-M 'P 4 m m'
_symmetry_Int_Tables_number 99
_cell_length_a 3.183
_cell_length_b 3.183
_cell_length_c 8.079
_cell_angle_alpha 90.00
_cell_angle_beta 90.00
_cell_angle_gamma 90.00
loop_
_symmetry_equiv_pos_as_xyz
'x,y,z'
'-y,x,z'
'-x,-y,z'
'y,-x,z'
'-x,y,z'
'y,x,z'
'x,-y,z'
'-y,-x,z'
loop_
_atom_site_label
_atom_site_type_symbol
_atom_site_fract_x
_atom_site_fract_y
_atom_site_fract_z
_atom_site_occupancy
Fe1 Fe 0.000 0.000 0.000 1
Au1 Au 0.500 0.500 0.198 1
Br1 Br 0.000 0.000 0.423 1
Br2 Br 0.500 0.500 0.815 1
```

M_tot: 3.4 μB/f.u.

Energy comparison, zero being the most stable, in meV/atom: *i* 174; *ii* 0.

*i*
The following is a GGA-PBEsol calculation of HAuBr2 after structural relaxation, from the Alexandria database.

```
data_HAuBr2
_chemical_formula_sum 'H3 Au3 Br6'
_symmetry_space_group_name_H-M 'R -3 m'
_symmetry_Int_Tables_number 166
_symmetry_space_group_name_Hall '-R 3 2"'
_cell_length_a 3.5313
_cell_length_b 3.5313
_cell_length_c 22.0776
_cell_angle_alpha 90.00
_cell_angle_beta 90.00
_cell_angle_gamma 120.00
loop_
_atom_site_label
_atom_site_type_symbol
_atom_site_fract_x
_atom_site_fract_y
_atom_site_fract_z
_atom_site_occupancy
H1 H 0.0000 0.0000 0.0000 1
Au1 Au 0.0000 0.0000 0.5000 1
Br1 Br 0.0000 0.0000 0.3916 1
```

M_tot: 0.0 μB/f.u.

*ii*
The following is a GGA-PBEsol calculation of HAuBr2 after structural relaxation, from the Alexandria database.

```
data_HAuBr2
_chemical_formula_sum 'H4 Au4 Br8'
_symmetry_space_group_name_H-M 'I -4 2 d'
_symmetry_Int_Tables_number 122
_symmetry_space_group_name_Hall 'I -4 2bw'
_cell_length_a 5.577
_cell_length_b 5.577
_cell_length_c 10.199
_cell_angle_alpha 90.00
_cell_angle_beta 90.00
_cell_angle_gamma 90.00
loop_
_atom_site_label
_atom_site_type_symbol
_atom_site_fract_x
_atom_site_fract_y
_atom_site_fract_z
_atom_site_occupancy
H1 H 0.000 0.000 0.000 1
Au1 Au 0.000 0.000 0.500 1
Br1 Br 0.175 0.750 0.125 1
```

M_tot: 0.0 μB/f.u.

Energy comparison, zero being the most stable, in meV/atom: *i* 154; *ii* 0.

*i*
The following is a GGA-PBEsol calculation of IrAu2Br after structural relaxation, from the Alexandria database.

```
data_IrAu2Br
_chemical_formula_sum 'Ir2 Au4 Br2'
_symmetry_space_group_name_H-M 'C m m m'
_symmetry_Int_Tables_number 65
_symmetry_space_group_name_Hall '-C 2 2'
_cell_length_a 5.233
_cell_length_b 8.490
_cell_length_c 3.401
_cell_angle_alpha 90.00
_cell_angle_beta 90.00
_cell_angle_gamma 90.00
loop_
_atom_site_label
_atom_site_type_symbol
_atom_site_fract_x
_atom_site_fract_y
_atom_site_fract_z
_atom_site_occupancy
Ir1 Ir 0.000 0.000 0.000 1
Au1 Au 0.000 0.236 0.500 1
Br1 Br 0.000 0.500 0.000 1
```

M_tot: 0.0 μB/f.u.

*ii*
The following is a GGA-PBEsol calculation of IrAu2Br after structural relaxation, from the Alexandria database.

```
data_IrAu2Br
_chemical_formula_sum 'Ir2 Au4 Br2'
_symmetry_space_group_name_H-M 'C m m m'
_symmetry_Int_Tables_number 65
_symmetry_space_group_name_Hall '-C 2 2'
_cell_length_a 2.808
_cell_length_b 5.011
_cell_length_c 10.049
_cell_angle_alpha 90.00
_cell_angle_beta 90.00
_cell_angle_gamma 90.00
loop_
_atom_site_label
_atom_site_type_symbol
_atom_site_fract_x
_atom_site_fract_y
_atom_site_fract_z
_atom_site_occupancy
Ir1 Ir 0.000 0.000 0.000 1
Au1 Au 0.000 0.500 0.232 1
Br1 Br 0.000 0.000 0.500 1
```

M_tot: 0.0 μB/f.u.

Energy comparison, zero being the most stable, in meV/atom: *i* 92; *ii* 0.